LiSm2Dy3Se6 | GGA-PBE | optimized geometry

Structure (CIF):
```
data_LiSm2Dy3Se6
_chemical_formula_sum 'Li1 Sm2 Dy3 Se6'
_symmetry_space_group_name_H-M 'P 1'
_symmetry_Int_Tables_number 1
_symmetry_space_group_name_Hall 'P 1'
_cell_length_a 7.095
_cell_length_b 7.095
_cell_length_c 7.088
_cell_angle_alpha 99.66
_cell_angle_beta 99.66
_cell_angle_gamma 120.14
loop_
_atom_site_label
_atom_site_fract_x
_atom_site_fract_y
_atom_site_fract_z
Li1 0.000 0.000 0.000
Sm1 0.335 0.665 0.000
Sm2 0.665 0.335 0.000
Dy1 0.168 0.832 0.500
Dy2 0.500 0.500 0.500
Dy3 0.832 0.168 0.500
Se1 0.083 0.404 0.251
Se2 0.236 0.236 0.750
Se3 0.404 0.083 0.251
Se4 0.596 0.917 0.749
Se5 0.764 0.764 0.250
Se6 0.917 0.596 0.749
```

Summary:
The space-group type is C2/m. The theoretical density is 7.3 Mg/m³. The value obtained for the formation energy (no corrections) is -1.7652 eV/atom.



LiSm2DySe5 | GGA-PBE | optimized geometry

Structure (CIF):
```
data_LiSm2DySe5
_chemical_formula_sum 'Li2 Sm4 Dy2 Se10'
_symmetry_space_group_name_H-M 'P 1'
_symmetry_Int_Tables_number 1
_symmetry_space_group_name_Hall 'P 1'
_cell_length_a 8.833
_cell_length_b 8.833
_cell_length_c 12.421
_cell_angle_alpha 90.00
_cell_angle_beta 90.00
_cell_angle_gamma 153.10
loop_
_atom_site_label
_atom_site_fract_x
_atom_site_fract_y
_atom_site_fract_z
Li1 0.014 0.986 0.500
Li2 0.986 0.014 0.000
Sm1 0.375 0.625 0.314
Sm2 0.392 0.608 0.704
Sm3 0.608 0.392 0.204
Sm4 0.625 0.375 0.814
Dy1 0.304 0.696 0.021
Dy2 0.696 0.304 0.521
Se1 0.000 0.000 0.303
Se2 0.000 0.000 0.803
Se3 0.138 0.862 0.017
Se4 0.192 0.808 0.360
Se5 0.215 0.785 0.681
Se6 0.454 0.546 0.092
Se7 0.546 0.454 0.592
Se8 0.785 0.215 0.181
Se9 0.808 0.192 0.860
Se10 0.862 0.138 0.517
```

Summary:
The space-group type is Cmc2_1. The theoretical density is 6.6 Mg/m³. The value obtained for the formation energy (no corrections) is -1.7334 eV/atom.



LiSm3Dy2Se6 | GGA-PBE | optimized geometry

Structure (CIF):
```
data_LiSm3Dy2Se6
_chemical_formula_sum 'Li1 Sm3 Dy2 Se6'
_symmetry_space_group_name_H-M 'P 1'
_symmetry_Int_Tables_number 1
_symmetry_space_group_name_Hall 'P 1'
_cell_length_a 7.090
_cell_length_b 7.090
_cell_length_c 7.150
_cell_angle_alpha 99.55
_cell_angle_beta 99.55
_cell_angle_gamma 120.14
loop_
_atom_site_label
_atom_site_fract_x
_atom_site_fract_y
_atom_site_fract_z
Li1 0.000 0.000 0.000
Sm1 0.167 0.833 0.500
Sm2 0.500 0.500 0.500
Sm3 0.833 0.167 0.500
Dy1 0.335 0.665 0.000
Dy2 0.665 0.335 0.000
Se1 0.078 0.404 0.237
Se2 0.245 0.245 0.765
Se3 0.404 0.078 0.237
Se4 0.596 0.922 0.763
Se5 0.755 0.755 0.235
Se6 0.922 0.596 0.763
```

Summary:
The space-group type is C2/m. The theoretical density is 7.1 Mg/m³. The value obtained for the formation energy (no corrections) is -1.7746 eV/atom.



Li2SmDySe4 | GGA-PBE | optimized geometry

Structure (CIF):
```
data_Li2SmDySe4
_chemical_formula_sum 'Li2 Sm1 Dy1 Se4'
_symmetry_space_group_name_H-M 'P 1'
_symmetry_Int_Tables_number 1
_symmetry_space_group_name_Hall 'P 1'
_cell_length_a 6.927
_cell_length_b 4.113
_cell_length_c 7.124
_cell_angle_alpha 90.00
_cell_angle_beta 110.02
_cell_angle_gamma 90.00
loop_
_atom_site_label
_atom_site_fract_x
_atom_site_fract_y
_atom_site_fract_z
Li1 0.000 0.000 0.000
Li2 0.000 0.500 0.500
Sm1 0.500 0.000 0.500
Dy1 0.500 0.500 0.000
Se1 0.244 0.500 0.243
Se2 0.246 0.000 0.753
Se3 0.754 0.000 0.247
Se4 0.756 0.500 0.757
```

Summary:
The space-group type is P2/m. The theoretical density is 5.6 Mg/m³. The value obtained for the formation energy (no corrections) is -1.6859 eV/atom.



Li4Dy3SnSe8 | GGA-PBE | optimized geometry

Structure (CIF):
```
data_Li4Dy3SnSe8
_chemical_formula_sum 'Li4 Dy3 Sn1 Se8'
_symmetry_space_group_name_H-M 'P 1'
_symmetry_Int_Tables_number 1
_symmetry_space_group_name_Hall 'P 1'
_cell_length_a 8.012
_cell_length_b 8.012
_cell_length_c 8.012
_cell_angle_alpha 61.01
_cell_angle_beta 61.01
_cell_angle_gamma 61.01
loop_
_atom_site_label
_atom_site_fract_x
_atom_site_fract_y
_atom_site_fract_z
Li1 0.000 0.000 0.000
Li2 0.000 0.500 0.500
Li3 0.500 0.000 0.500
Li4 0.500 0.500 0.000
Dy1 0.000 0.000 0.500
Dy2 0.000 0.500 0.000
Dy3 0.500 0.000 0.000
Sn1 0.500 0.500 0.500
Se1 0.249 0.249 0.748
Se2 0.249 0.748 0.249
Se3 0.251 0.251 0.251
Se4 0.252 0.751 0.751
Se5 0.748 0.249 0.249
Se6 0.749 0.749 0.749
Se7 0.751 0.252 0.751
Se8 0.751 0.751 0.252
```

Summary:
The space-group type is R-3m. The theoretical density is 5.7 Mg/m³. The value obtained for the formation energy (no corrections) is -1.4376 eV/atom.



LiDy2SnSe4 | GGA-PBE | optimized geometry

Structure (CIF):
```
data_LiDy2SnSe4
_chemical_formula_sum 'Li2 Dy4 Sn2 Se8'
_symmetry_space_group_name_H-M 'P 1'
_symmetry_Int_Tables_number 1
_symmetry_space_group_name_Hall 'P 1'
_cell_length_a 8.274
_cell_length_b 8.274
_cell_length_c 8.274
_cell_angle_alpha 119.84
_cell_angle_beta 119.79
_cell_angle_gamma 90.32
loop_
_atom_site_label
_atom_site_fract_x
_atom_site_fract_y
_atom_site_fract_z
Li1 0.000 0.000 0.000
Li2 0.500 0.000 0.500
Dy1 0.000 0.500 0.500
Dy2 0.500 0.000 0.000
Dy3 0.500 0.500 0.000
Dy4 0.500 0.500 0.500
Sn1 0.000 0.000 0.500
Sn2 0.000 0.500 0.000
Se1 0.255 0.256 0.502
Se2 0.255 0.753 0.998
Se3 0.257 0.248 0.009
Se4 0.261 0.752 0.509
Se5 0.739 0.248 0.491
Se6 0.743 0.752 0.991
Se7 0.745 0.247 0.002
Se8 0.745 0.744 0.498
```

Summary:
The space-group type is Imma. The theoretical density is 6.3 Mg/m³. The value obtained for the formation energy (no corrections) is -1.3363 eV/atom.



LiDySnSe3 | GGA-PBE | optimized geometry

Structure (CIF):
```
data_LiDySnSe3
_chemical_formula_sum 'Li2 Dy2 Sn2 Se6'
_symmetry_space_group_name_H-M 'P 1'
_symmetry_Int_Tables_number 1
_symmetry_space_group_name_Hall 'P 1'
_cell_length_a 8.532
_cell_length_b 4.113
_cell_length_c 8.898
_cell_angle_alpha 90.00
_cell_angle_beta 101.98
_cell_angle_gamma 90.00
loop_
_atom_site_label
_atom_site_fract_x
_atom_site_fract_y
_atom_site_fract_z
Li1 0.083 0.250 0.084
Li2 0.917 0.750 0.916
Dy1 0.332 0.750 0.331
Dy2 0.668 0.250 0.669
Sn1 0.184 0.250 0.731
Sn2 0.816 0.750 0.269
Se1 0.110 0.250 0.373
Se2 0.220 0.750 0.008
Se3 0.428 0.750 0.665
Se4 0.572 0.250 0.335
Se5 0.780 0.250 0.992
Se6 0.890 0.750 0.627
```

Summary:
The space-group type is P2_1/m. The theoretical density is 5.7 Mg/m³. The value obtained for the formation energy (no corrections) is -1.1792 eV/atom.



LiDySn2Se4 | GGA-PBE | optimized geometry

Structure (CIF):
```
data_LiDySn2Se4
_chemical_formula_sum 'Li1 Dy1 Sn2 Se4'
_symmetry_space_group_name_H-M 'P 1'
_symmetry_Int_Tables_number 1
_symmetry_space_group_name_Hall 'P 1'
_cell_length_a 7.129
_cell_length_b 4.176
_cell_length_c 7.335
_cell_angle_alpha 90.00
_cell_angle_beta 108.68
_cell_angle_gamma 90.00
loop_
_atom_site_label
_atom_site_fract_x
_atom_site_fract_y
_atom_site_fract_z
Li1 0.000 0.000 0.000
Dy1 0.500 0.500 0.000
Sn1 0.000 0.500 0.500
Sn2 0.500 0.000 0.500
Se1 0.247 0.500 0.233
Se2 0.255 0.000 0.769
Se3 0.745 0.000 0.231
Se4 0.753 0.500 0.767
```

Summary:
The space-group type is P2/m. The theoretical density is 5.8 Mg/m³. The value obtained for the formation energy (no corrections) is -1.0029 eV/atom.